SbAsP2Cl after structural relaxation. Source: Alexandria, functional PBE-GGA.

- Total moment: 0.00 μB per cell
- Total DFT energy (no corrections): -3.679 eV per atom
- Space group: No. 123
- Formation energy without anion corrections: 0.608 eV per atom
- Crystal system: tetragonal
- Mass density: 4.4 g/cm3

```
SbAsP2Cl
1.0
4.854 0.000 0.000
0.000 4.854 0.000
0.000 0.000 4.736
Sb As P Cl
1 1 2 1
Cartesian
2.427 2.427 2.368
0.000 0.000 0.000
0.000 2.427 0.000
2.427 0.000 0.000
0.000 0.000 2.368
```